The following is a GGA-PBE calculation of RbBa2F2 after structural relaxation, from Alexandria.

a b c (Å): 10.997 10.997 10.997
angles (deg): 156.00 156.00 34.20
Positions (direct):
Rb  0.000  0.000  0.000
Ba  0.318  0.318  0.000
Ba  0.682  0.682  0.000
F  0.250  0.750  0.500
F  0.750  0.250  0.500

Properties
Its space-group type is I4/mmm (139). Its formation energy (no corrections) is -11.05 eV/f.u. The volume is 220 Å³/cell.